Crystalline PmEr2Fe at its relaxed geometry, computed with PBE.

The structure belongs to space group R-3m (No. 166, hexagonal axes); the cell edges are 3.4560, 3.4560 and 31.8915 Å and the angles 90.00°, 90.00° and 120.00°. The distinct sites, in fractional coordinates, are Pm at (0.0000, 0.0000, 0.0000), Er at (0.0000, 0.0000, 0.1092) and Fe at (0.0000, 0.0000, 0.5000).

As for the energy above the lowest structure with this stoichiometry: 0.256 eV/atom. The total moment is 0.250 μB per atom. For the density, the calculation gives 8.08 g/cm³. For the formation enthalpy at 0 K, the calculation gives 117 kJ/mol of formula units. The value obtained for the final energy is -5.2815 eV/atom. For the density of states at the Fermi level, the calculation gives 5.07 states/eV/f.u.

Crystalline PmErZnFe at its relaxed geometry, computed with PBE.

The structure belongs to space group F-43m (No. 216); the cell edges are 7.005, 7.005 and 7.005 Å and the angles 90.00°, 90.00° and 90.00°. The distinct sites, in fractional coordinates, are Pm at (0.000, 0.000, 0.000), Er at (0.000, 0.000, 0.500), Zn at (0.250, 0.250, 0.250) and Fe at (0.250, 0.250, 0.750).

The total moment is 0.316 μB per atom. For the density, the calculation gives 8.38 g/cm³. For the formation enthalpy at 0 K, the calculation gives -17 kJ/mol of formula units. The value obtained for the final energy is -4.8069 eV/atom. For the density of states at the Fermi level, the calculation gives 4.26 states/eV/f.u.